First-principles (GGA-PBE) data for a relaxed structure of Rb2PbF7, as listed in Alexandria via LeMat-Bulk. Values from VASP.

Quantum ESPRESSO input file:
```
&SYSTEM
  ibrav = 0, nat = 20, ntyp = 3
/
ATOMIC_SPECIES
Rb 85.47 Rb.upf
Pb 207.20 Pb.upf
F 19.00 F.upf
ATOMIC_POSITIONS angstrom
Rb 2.009 0.254 0.609
Rb -1.459 -0.254 4.351
Rb 9.496 0.254 3.133
Rb 6.028 -0.254 6.875
Pb 5.753 0.025 1.871
Pb 2.285 -0.025 5.613
F 2.285 2.217 5.613
F 4.387 1.647 2.086
F 0.413 1.037 6.121
F 1.613 0.089 3.631
F 7.119 1.647 1.656
F -1.855 -0.089 7.373
F 4.157 1.037 5.104
F 3.881 -1.037 2.380
F 9.893 0.089 0.111
F 0.919 -1.647 5.827
F 6.425 -0.089 3.853
F 7.625 -1.037 1.362
F 3.651 -1.647 5.398
F 5.753 -2.217 1.871
CELL_PARAMETERS angstrom
7.487 -3.331 0.000
7.487 3.331 0.000
-6.936 0.000 7.484
```

## Properties
Energy = -4.00 eV per atom
Excess energy over the best structure of this formula in the dataset = 0 meV/atom
Uncorrected formation energy = -2.1251 eV per atom
Total magnetic moment = 1.10 μB/f.u.
Calculated volume = 373 Å³/cell